DFT (PBE) results for Na3GaAu after structural relaxation.

Energy relative to the elements   -15.3 kJ/mol of atoms
Energy above the most stable polymorph in this dataset   0.0 meV/atom
Total magnetic moment   0.00 μB per formula unit
E_tot   -22.11 eV/cell
Space-group type   No. 11

Cell lengths 4.1480, 9.6162, 6.8672 Å; angles 90.00, 90.11, 90.00 degrees
Fractional coordinates of all 10 atoms:
Na 0.2558 0.7500 0.0046
Na 0.7539 0.9767 0.7028
Na 0.2461 0.0233 0.2972
Na 0.7442 0.2500 0.9954
Na 0.2461 0.4767 0.2972
Na 0.7539 0.5233 0.7028
Au 0.2457 0.2500 0.6647
Au 0.7543 0.7500 0.3353
Ga 0.2551 0.7500 0.5476
Ga 0.7449 0.2500 0.4524